(1)
NaOsC2 (GGA-PBE, relaxed); E_form = 0.72 eV per atom; final energy = -7.0275 eV per atom; DOS(E_F) = 1.0 states/eV/cell
1.0
5.529 0.000 0.000
0.000 5.529 0.000
2.765 2.765 5.005
Na C Os
2 4 2
Cartesian
2.765 2.765 0.000
2.765 5.529 2.503
5.288 1.382 1.251
5.770 4.147 1.251
4.147 3.005 3.754
6.912 2.524 3.754
0.000 0.000 0.000
5.529 2.765 2.503

(2)
NaOsC2 (GGA-PBE, relaxed); E_form = 1.80 eV per atom; final energy = -5.9463 eV per atom; DOS(E_F) = 3.8 states/eV/cell
1.0
0.000 2.708 2.708
2.708 0.000 2.708
2.708 2.708 0.000
Na C Os
1 2 1
Cartesian
0.000 0.000 0.000
1.354 1.354 1.354
4.061 4.061 4.061
2.708 2.708 2.708

(3)
NaOs2PbC (GGA-PBE, relaxed); E_form = 3.75 eV per atom; final energy = -3.5959 eV per atom; DOS(E_F) = 6.4 states/eV/cell
1.0
-1.376 -1.703 4.150
4.735 -1.695 0.874
1.086 4.085 2.037
Pb Na C Os
1 1 1 2
Cartesian
2.367 -0.847 0.437
0.000 0.000 0.000
2.223 0.344 3.531
0.543 2.043 1.018
-0.688 -0.852 2.075

(4)
NaOsPbC2 (GGA-PBE, relaxed); E_form = 3.44 eV per atom; final energy = -3.4986 eV per atom; DOS(E_F) = 5.8 states/eV/cell
1.0
4.412 0.000 0.000
0.000 5.139 0.000
0.000 0.000 4.412
Pb Na C Os
1 1 2 1
Cartesian
0.000 0.000 0.000
0.000 2.570 0.000
0.000 0.000 2.206
2.206 0.000 0.000
2.206 2.570 2.206

(5)
Na2ScOsC (GGA-PBE, relaxed); E_form = 1.25 eV per atom; final energy = -4.6330 eV per atom; DOS(E_F) = 4.3 states/eV/cell
1.0
4.589 0.000 0.000
0.000 4.519 0.000
0.000 0.000 4.589
Sc Na C Os
1 2 1 1
Cartesian
0.000 2.260 0.000
0.000 0.000 2.294
2.294 0.000 0.000
0.000 0.000 0.000
2.294 2.260 2.294

(6)
Na2SnOsC (GGA-PBE, relaxed); E_form = 1.53 eV per atom; final energy = -3.8877 eV per atom; DOS(E_F) = 4.7 states/eV/cell
1.0
4.588 0.000 0.000
0.000 4.525 0.000
0.000 0.000 4.588
Na C Os Sn
2 1 1 1
Cartesian
0.000 0.000 2.294
2.294 0.000 0.000
0.000 0.000 0.000
2.294 2.263 2.294
0.000 2.263 0.000

(7)
NaY2OsC (GGA-PBE, relaxed); E_form = -0.13 eV per atom; final energy = -7.0713 eV per atom; DOS(E_F) = 2.9 states/eV/cell
1.0
5.084 0.000 0.000
0.000 5.084 0.000
0.000 0.000 3.949
Y Na C Os
2 1 1 1
Cartesian
0.000 2.542 0.000
2.542 0.000 0.000
2.542 2.542 1.975
0.000 0.000 0.000
0.000 0.000 1.975

(8)
NaP2C (GGA-PBE, relaxed); E_form = 0.45 eV per atom; final energy = -4.8909 eV per atom; DOS(E_F) = 3.4 states/eV/cell
1.0
-5.527 0.559 2.399
0.901 -5.027 3.246
-1.023 -0.365 5.359
P C Na
4 2 2
Cartesian
-2.986 -0.432 2.979
-0.995 -3.101 3.934
-2.403 -2.505 6.495
-4.915 -3.627 8.599
-2.313 -2.234 2.822
-1.218 -3.813 5.714
0.000 0.000 0.000
-4.432 -1.020 5.290

(9)
NaPC3 (GGA-PBE, relaxed); E_form = 4.01 eV per atom; final energy = -2.8731 eV per atom; DOS(E_F) = 3.9 states/eV/cell
1.0
-4.321 -0.198 0.077
-0.021 -1.159 -4.168
0.211 -4.163 1.157
P C Na
1 3 1
Cartesian
-2.065 -2.760 -1.467
-0.011 -0.579 -2.084
0.106 -2.081 0.578
-2.160 -0.099 0.039
0.000 0.000 0.000

(10)
NaP3C (GGA-PBE, relaxed); E_form = 2.81 eV per atom; final energy = -2.5397 eV per atom; DOS(E_F) = 4.6 states/eV/cell
1.0
-1.932 4.399 0.235
-2.304 -0.790 -4.148
-3.754 -1.779 2.425
P C Na
3 1 1
Cartesian
-1.152 -0.395 -2.074
-1.877 -0.889 1.212
-0.966 2.199 0.118
-3.995 0.915 -0.744
0.000 0.000 0.000

(11)
NaP3C (GGA-PBE, relaxed); E_form = 1.03 eV per atom; final energy = -4.3199 eV per atom; DOS(E_F) = 2.6 states/eV/cell
1.0
4.220 0.000 0.000
0.000 4.220 0.000
0.000 0.000 4.220
P C Na
3 1 1
Cartesian
0.000 2.110 0.000
0.000 0.000 2.110
2.110 0.000 0.000
0.000 0.000 0.000
2.110 2.110 2.110

(12)
NaPC3 (GGA-PBE, relaxed); E_form = 1.86 eV per atom; final energy = -5.0239 eV per atom; DOS(E_F) = 1.8 states/eV/cell
1.0
3.704 0.000 0.000
0.000 3.704 0.000
0.000 0.000 3.704
P C Na
1 3 1
Cartesian
0.000 0.000 0.000
0.000 1.852 0.000
0.000 0.000 1.852
1.852 0.000 0.000
1.852 1.852 1.852